# LiErNi2O4

A geometry-optimized LiErNi2O4 structure (GGA+U, Alexandria).

## Properties
Crystal system   monoclinic
VASP energy   -5.66 eV/atom
Calculated density   6.64 g/cm3
Symmetry   P2/m
Density of states at the Fermi level   0.00 states/eV/cell
Size of the total moment   0.01 Bohr magnetons per cell

Unit cell a=5.8211 b=2.9772 c=5.8886 alpha=90.00 beta=119.41 gamma=90.00
Fractional positions:
Li: 0.0000 0.0000 0.0000
Er: 0.0000 0.5000 0.5000
Ni: 0.5000 0.0000 0.0000
Ni: 0.5000 0.5000 0.5000
O: 0.2493 0.5000 0.9336
O: 0.2538 0.0000 0.4446
O: 0.7462 0.0000 0.5554
O: 0.7507 0.5000 0.0664